No. 1
Here is crystalline ZrCBr2 at its relaxed geometry from the Alexandria database. Energies are from PBE-GGA.

```
ZrCBr2
1.0
1.710 0.987 8.397
-1.710 0.987 8.397
0.000 -1.974 8.397
Zr C Br
1 1 2
Direct
0.000 0.000 0.000
0.500 0.500 0.500
0.104 0.104 0.104
0.896 0.896 0.896
```

V = 21.257 Å³/atom
ΔE to the lowest computed polymorph = 373 meV per atom
N(E_F) = 3.9 states/eV/cell
ΔE_f (raw) = 1.333 eV/atom

---

No. 2
Here is crystalline TmHgS2 at its relaxed geometry from the Alexandria database. Energies are from PBE-GGA.

```
TmHgS2
1.0
1.972 1.139 8.171
-1.972 1.139 8.171
0.000 -2.277 8.171
Tm Hg S
1 1 2
Direct
0.000 0.000 0.000
0.500 0.500 0.500
0.392 0.392 0.392
0.608 0.608 0.608
```

V = 27.529 Å³/atom
ΔE to the lowest computed polymorph = 0 meV per atom
N(E_F) = 2.5 states/eV/cell
ΔE_f (raw) = -1.159 eV/atom

---

No. 3
Here is crystalline Tc2RuRh at its relaxed geometry from the Alexandria database. Energies are from PBE-GGA.

```
Tc2RuRh
1.0
0.000 3.083 3.083
3.083 0.000 3.083
3.083 3.083 0.000
Tc Ru Rh
2 1 1
Direct
0.250 0.250 0.250
0.750 0.750 0.750
0.000 0.000 0.000
0.500 0.500 0.500
```

V = 14.645 Å³/atom
ΔE to the lowest computed polymorph = 582 meV per atom
N(E_F) = 5.7 states/eV/cell
Energy relative to the elements = 0.449 eV per atom

---

No. 4
Here is crystalline Rb5MgTl4 at its relaxed geometry from the Alexandria database. Energies are from PBE-GGA.

```
Rb5MgTl4
1.0
11.817 -2.552 0.000
11.817 2.552 0.000
-3.580 0.000 8.683
Rb Mg Tl
5 1 4
Direct
0.000 0.000 0.000
0.301 0.301 0.705
0.357 0.357 0.214
0.643 0.643 0.786
0.699 0.699 0.295
0.000 0.000 0.500
0.122 0.122 0.450
0.467 0.467 0.639
0.533 0.533 0.361
0.878 0.878 0.550
```

V = 52.366 Å³/atom
N(E_F) = 7.8 states/eV/cell
Energy relative to the elements = -0.043 eV per atom